[1]
# PBE Li2NiW, optimized geometry
# Energy above the lowest structure with this stoichiometry: 0.67 eV per formula unit
# Electronic total energy: -21.094 eV/cell
data_Li2NiW
_chemical_formula_sum 'Li2 Ni1 W1'
_symmetry_space_group_name_H-M 'P 4/m m m'
_symmetry_Int_Tables_number 123
_symmetry_space_group_name_Hall '-P 4 2'
_cell_length_a 2.556
_cell_length_b 2.556
_cell_length_c 8.450
_cell_angle_alpha 90.00
_cell_angle_beta 90.00
_cell_angle_gamma 90.00
loop_
_atom_site_label
_atom_site_type_symbol
_atom_site_fract_x
_atom_site_fract_y
_atom_site_fract_z
Li1 Li 0.000 0.000 0.222
Ni1 Ni 0.500 0.500 0.000
W1 W 0.500 0.500 0.500

[2]
# PBE LiNiW, optimized geometry
# Energy above the lowest structure with this stoichiometry: 0.05 eV per formula unit
# Electronic total energy: -39.656 eV/cell
data_LiNiW
_chemical_formula_sum 'Li2 Ni2 W2'
_symmetry_space_group_name_H-M 'I 4 m m'
_symmetry_Int_Tables_number 107
_symmetry_space_group_name_Hall 'I 4 -2'
_cell_length_a 2.667
_cell_length_b 2.667
_cell_length_c 11.543
_cell_angle_alpha 90.00
_cell_angle_beta 90.00
_cell_angle_gamma 90.00
loop_
_atom_site_label
_atom_site_type_symbol
_atom_site_fract_x
_atom_site_fract_y
_atom_site_fract_z
Li1 Li 0.000 0.000 0.000
Ni1 Ni 0.000 0.000 0.651
W1 W 0.000 0.000 0.304

| no. | magnetization (μB per cell) | formation energy from the elements (eV per atom) |
| --- | --- | --- |
| 1 | 0.118 | 0.37 |
| 2 | 0.000 | 0.27 |